# 1
DFT (GGA-PBE) results for crystalline SbAsN3 at its relaxed geometry.

```
SbAsN3
1.0
-0.009 1.959 3.270
-3.109 -1.896 1.127
2.205 -2.665 1.602
Sb As N
1 1 3
direct
0.500 0.500 0.500
0.000 0.000 0.000
0.000 0.500 0.000
0.000 0.000 0.500
0.500 0.000 0.000
```

## Properties
total magnetization: 0.0 μB/f.u.
volume: 11.08 A^3/atom
energy relative to the elements, uncorrected: 1240.9 meV per atom

# 2
DFT (GGA-PBE) results for crystalline SbAsN3 at its relaxed geometry.

```
SbAsN3
1.0
-3.950 0.698 0.087
-0.683 -3.689 -1.421
-0.167 -1.414 3.751
Sb As N
1 1 3
direct
0.000 0.000 0.000
0.500 0.500 0.500
0.000 0.500 0.000
0.000 0.000 0.500
0.500 0.000 0.000
```

## Properties
total magnetization: 0.0 μB/f.u.
volume: 12.91 A^3/atom
energy relative to the elements, uncorrected: 1629.0 meV per atom

# 3
DFT (GGA-PBE) results for crystalline SbAsN2 at its relaxed geometry.

```
SbAsN2
1.0
5.416 0.000 0.000
0.000 5.416 0.000
2.708 2.708 4.345
Sb As N
2 2 4
direct
0.000 0.000 0.000
0.750 0.250 0.500
0.500 0.500 0.000
0.250 0.750 0.500
0.534 0.125 0.250
0.216 0.625 0.250
0.375 0.466 0.750
0.875 0.784 0.750
```

## Properties
total magnetization: 0.0 μB/f.u.
ΔE to the lowest computed polymorph: 335.6 meV per atom
volume: 15.93 A^3/atom
energy relative to the elements, uncorrected: 915.9 meV per atom

# 4
DFT (GGA-PBE) results for crystalline SbAs2N at its relaxed geometry.

```
SbAs2N
1.0
5.450 0.000 0.000
0.000 5.450 0.000
2.725 2.725 5.925
Sb As N
2 4 2
direct
0.000 0.000 0.000
0.750 0.250 0.500
0.507 0.125 0.250
0.243 0.625 0.250
0.375 0.493 0.750
0.875 0.757 0.750
0.500 0.500 0.000
0.250 0.750 0.500
```

## Properties
total magnetization: 0.0 μB/f.u.
ΔE to the lowest computed polymorph: 0.0 meV per atom
volume: 22.00 A^3/atom
energy relative to the elements, uncorrected: 655.1 meV per atom

# 5
DFT (GGA-PBE) results for crystalline SbAsN2 at its relaxed geometry.

```
SbAsN2
1.0
-3.494 -0.692 2.183
-3.460 2.181 -0.849
-3.260 -1.878 -1.816
Sb As N
1 1 2
direct
0.500 0.500 0.500
0.000 0.000 0.000
0.250 0.250 0.250
0.750 0.750 0.750
```

## Properties
total magnetization: 0.0 μB/f.u.
ΔE to the lowest computed polymorph: 920.7 meV per atom
volume: 12.89 A^3/atom
energy relative to the elements, uncorrected: 1501.0 meV per atom

# 6
DFT (GGA-PBE) results for crystalline SbAsN2 at its relaxed geometry.

```
SbAsN2
1.0
1.784 0.000 6.793
-0.892 1.545 6.793
-0.892 -1.545 6.793
Sb As N
1 1 2
direct
0.000 0.000 0.000
0.500 0.500 0.500
0.884 0.884 0.884
0.116 0.116 0.116
```

## Properties
total magnetization: 0.0 μB/f.u.
ΔE to the lowest computed polymorph: 72.5 meV per atom
volume: 14.05 A^3/atom
energy relative to the elements, uncorrected: 652.8 meV per atom

# 7
DFT (GGA-PBE) results for crystalline SbAsN2 at its relaxed geometry.

```
SbAsN2
1.0
1.841 0.000 6.654
-0.921 1.595 6.654
-0.921 -1.595 6.654
Sb As N
1 1 2
direct
0.500 0.500 0.500
0.000 0.000 0.000
0.890 0.890 0.890
0.110 0.110 0.110
```

## Properties
total magnetization: 0.0 μB/f.u.
ΔE to the lowest computed polymorph: 0.0 meV per atom
volume: 14.65 A^3/atom
energy relative to the elements, uncorrected: 580.4 meV per atom

# 8
DFT (GGA-PBE) results for crystalline ScSbAs2N at its relaxed geometry.

```
ScSbAs2N
1.0
-2.810 3.575 -1.030
-3.410 -2.574 0.367
-0.313 1.060 4.530
Sc Sb As N
1 1 2 1
direct
0.000 0.500 0.000
0.500 0.500 0.500
0.000 0.000 0.500
0.500 0.000 0.000
0.000 0.000 0.000
```

## Properties
total magnetization: 0.0 μB/f.u.
volume: 18.64 A^3/atom
energy relative to the elements, uncorrected: -34.0 meV per atom